# 1
Density functional theory data (PBE-GGA) for crystalline SnH3N at its relaxed geometry.

Cell lengths 3.9253, 3.9253, 3.9253 Å; angles 90.00, 90.00, 90.00 degrees
Closest atoms and distances in Å follow each position.
Atoms (fractional coordinates):
1 Sn 0.0000 0.0000 0.0000  6 H 1.96
2 H 0.0000 0.0000 0.5000  2 Sn 1.96
3 H 0.0000 0.5000 0.0000  2 Sn 1.96
4 H 0.5000 0.0000 0.0000  2 Sn 1.96
5 N 0.5000 0.5000 0.5000  12 H 2.78

Output
Spin magnetization   0.52 μB per atom
Theoretical density   3.7 Mg/m³
E_tot   -3.2207 eV/atom


# 2
Density functional theory data (PBE-GGA) for crystalline Dy2OsW at its relaxed geometry.

Cell lengths 10.3182, 10.3182, 10.3182 Å; angles 17.35, 17.35, 17.35 degrees
Closest atoms and distances in Å follow each position.
Atoms (fractional coordinates):
1 Dy 0.0950 0.0950 0.0950  3 Os 2.83, 1 W 2.90, 6 Dy 3.11
2 Dy 0.9050 0.9050 0.9050  3 Os 2.83, 1 W 2.90, 6 Dy 3.11
3 Os 0.5000 0.5000 0.5000  6 Dy 2.83, 6 Os 3.11
4 W 0.0000 0.0000 0.0000  2 Dy 2.90, 6 W 3.11

Output
Spin magnetization   0.09 μB per atom
Theoretical density   13.6 Mg/m³
Formation energy from the elements   0.850 eV per atom


# 3
Density functional theory data (PBE-GGA) for crystalline YTa4Mo at its relaxed geometry.

Cell lengths 5.5401, 5.5401, 5.5401 Å; angles 60.00, 60.00, 60.00 degrees
Closest atoms and distances in Å follow each position.
Atoms (fractional coordinates):
1 Y 0.0000 0.0000 0.0000  12 Ta 3.25, 4 Mo 3.39
2 Ta 0.3748 0.3748 0.3748  6 Ta 2.76-2.78
3 Ta 0.3748 0.3748 0.8757  6 Ta 2.76-2.78
4 Ta 0.3748 0.8757 0.3748  6 Ta 2.76-2.78
5 Ta 0.8757 0.3748 0.3748  6 Ta 2.76-2.78
6 Mo 0.7500 0.7500 0.7500  12 Ta 3.25, 4 Y 3.39

Output
Spin magnetization   0.00 μB per atom
Theoretical density   12.5 Mg/m³
Formation energy from the elements   0.339 eV per atom


# 4
Density functional theory data (PBE-GGA) for crystalline BeTeW2 at its relaxed geometry.

Cell lengths 5.0127, 5.0127, 5.0127 Å; angles 139.71, 127.28, 68.38 degrees
Closest atoms and distances in Å follow each position.
Atoms (fractional coordinates):
1 Be 0.0000 0.0000 0.0000  6 W 2.54-2.82, 2 Te 2.74
2 Te 0.2571 0.7571 0.5000  4 Be 2.74-3.00, 8 W 2.78-2.97
3 W 0.5195 0.5195 0.0000  4 W 2.73-3.01, 4 Te 2.78-2.97, 4 Be 2.82
4 W 0.7747 0.2747 0.5000  2 Be 2.54, 2 W 2.73, 4 Te 2.82

Output
Spin magnetization   0.00 μB per atom
Theoretical density   13.1 Mg/m³
ΔE_f (raw)   0.6874 eV/atom